(1)
The following is a DFT calculation (PBE) of a relaxed structure of CaNi3B.

Properties
The value obtained for the magnetic moment is 0.0 μB per formula unit. The calculation puts the energy at -5.400 eV per atom.

a b c (Å): 5.019 5.997 8.684
angles (deg): 90.00 90.00 90.00
Space group Immm (No. 71)
One atom of each set of equivalent atoms:
Ca 0.000 0.000 0.000 x2
Ca 0.000 0.500 0.000 x2
Ni 0.000 0.231 0.500 x4
Ni 0.250 0.250 0.250 x8
B 0.000 0.000 0.329 x4


(2)
The following is a DFT calculation (PBE) of a relaxed structure of Ca5Ni15B4.

Properties
The value obtained for the magnetic moment is 0.0 μB per formula unit. The calculation puts the energy at -5.465 eV per atom.

a b c (Å): 5.0933 5.0933 27.9209
angles (deg): 90.00 90.00 120.00
Space group P6_3/mmc (No. 194)
One atom of each set of equivalent atoms:
Ca 0.3333 0.6667 0.0185 x4
Ca 0.3333 0.6667 0.1313 x4
Ca 0.3333 0.6667 0.2500 x2
Ni 0.0000 0.0000 0.0000 x2
Ni 0.0000 0.0000 0.2500 x2
Ni 0.1643 0.3286 0.5779 x12
Ni 0.1673 0.3347 0.6775 x12
Ni 0.3333 0.6667 0.7500 x2
B 0.0000 0.0000 0.1283 x4
B 0.3333 0.6667 0.6268 x4


(3)
The following is a DFT calculation (PBE) of a relaxed structure of Ca2Ni21B6.

Properties
The value obtained for the magnetic moment is 1.6 μB per formula unit. The calculation puts the energy at -5.948 eV per atom.

a b c (Å): 10.671 10.671 10.671
angles (deg): 90.00 90.00 90.00
Space group Fm-3m (No. 225)
One atom of each set of equivalent atoms:
Ca 0.250 0.250 0.250 x8
Ni 0.000 0.000 0.000 x4
Ni 0.000 0.168 0.168 x48
Ni 0.112 0.112 0.388 x32
B 0.000 0.000 0.272 x24


(4)
The following is a DFT calculation (PBE) of a relaxed structure of CaNi4B4.

Properties
The value obtained for the magnetic moment is 0.0 μB per formula unit. The calculation puts the energy at -6.074 eV per atom.

a b c (Å): 7.074 7.074 3.815
angles (deg): 90.00 90.00 90.00
Space group P4_2/n (No. 86, origin choice 2)
One atom of each set of equivalent atoms:
Ca 0.250 0.250 0.250 x2
Ni 0.109 0.637 0.139 x8
B 0.051 0.919 0.142 x8


(5)
The following is a DFT calculation (PBE) of a relaxed structure of CaNi4B4.

Properties
The value obtained for the magnetic moment is 0.0 μB per formula unit. The calculation puts the energy at -6.059 eV per atom.

a b c (Å): 5.053 5.053 7.034
angles (deg): 90.00 90.00 90.00
Space group P4_2/nmc (No. 137, origin choice 2)
One atom of each set of equivalent atoms:
Ca 0.250 0.750 0.250 x2
Ni 0.002 0.750 0.616 x8
B 0.079 0.250 0.090 x8


(6)
The following is a DFT calculation (PBE) of a relaxed structure of CaNiB.

Properties
The value obtained for the magnetic moment is 0.0 μB per formula unit. The calculation puts the energy at -4.912 eV per atom.

a b c (Å): 3.5140 3.5140 4.3166
angles (deg): 90.00 90.00 120.00
Space group P-6m2 (No. 187)
One atom of each set of equivalent atoms:
Ca 0.0000 0.0000 0.0000 x1
Ni 0.6667 0.3333 0.5000 x1
B 0.3333 0.6667 0.5000 x1


(7)
The following is a DFT calculation (PBE) of a relaxed structure of CaNiB.

Properties
The value obtained for the magnetic moment is 0.0 μB per formula unit. The calculation puts the energy at -4.737 eV per atom.

a b c (Å): 3.515 10.824 5.192
angles (deg): 90.00 90.00 90.00
Space group Cmcm (No. 63)
One atom of each set of equivalent atoms:
Ca 0.000 0.156 0.250 x4
Ni 0.000 0.439 0.250 x4
B 0.000 0.125 0.750 x4


(8)
The following is a DFT calculation (PBE) of a relaxed structure of CaNi4B.

Properties
The value obtained for the magnetic moment is 0.0 μB per formula unit. The calculation puts the energy at -5.603 eV per atom.

a b c (Å): 5.0442 5.0442 6.8536
angles (deg): 90.00 90.00 120.00
Space group P6/mmm (No. 191)
One atom of each set of equivalent atoms:
Ca 0.0000 0.0000 0.0000 x1
Ca 0.0000 0.0000 0.5000 x1
Ni 0.0000 0.5000 0.2046 x6
Ni 0.3333 0.6667 0.5000 x2
B 0.3333 0.6667 0.0000 x2


(9)
The following is a DFT calculation (PBE) of a relaxed structure of CaNi6B2.

Properties
The value obtained for the magnetic moment is 0.0 μB per formula unit. The calculation puts the energy at -5.612 eV per atom.

a b c (Å): 9.900 9.900 9.900
angles (deg): 90.00 90.00 90.00
Space group Fd-3m (No. 227, origin choice 2)
One atom of each set of equivalent atoms:
Ca 0.125 0.125 0.125 x8
Ni 0.078 0.375 0.875 x48
B 0.000 0.000 0.500 x16


(10)
The following is a DFT calculation (PBE) of a relaxed structure of CaNi5B2.

Properties
The value obtained for the magnetic moment is 0.0 μB per formula unit. The calculation puts the energy at -5.833 eV per atom.

a b c (Å): 3.434 6.128 8.662
angles (deg): 90.00 90.00 90.00
Space group Immm (No. 71)
One atom of each set of equivalent atoms:
Ca 0.000 0.000 0.000 x2
Ni 0.000 0.192 0.338 x8
Ni 0.000 0.500 0.000 x2
B 0.000 0.500 0.230 x4


(11)
The following is a DFT calculation (PBE) of a relaxed structure of CaNi8B4.

Properties
The value obtained for the magnetic moment is 0.0 μB per formula unit. The calculation puts the energy at -5.842 eV per atom.

a b c (Å): 7.588 7.588 4.457
angles (deg): 90.00 90.00 90.00
Space group I4/mmm (No. 139)
One atom of each set of equivalent atoms:
Ca 0.000 0.000 0.000 x2
Ni 0.000 0.227 0.500 x8
Ni 0.000 0.341 0.000 x8
B 0.250 0.250 0.250 x8


(12)
The following is a DFT calculation (PBE) of a relaxed structure of CaNi12B6.

Properties
The value obtained for the magnetic moment is 0.0 μB per formula unit. The calculation puts the energy at -6.221 eV per atom.

a b c (Å): 9.5455 9.5455 7.3717
angles (deg): 90.00 90.00 120.00
Space group R-3m (No. 166, hexagonal axes)
One atom of each set of equivalent atoms:
Ca 0.0000 0.0000 0.0000 x3
Ni 0.0000 0.3689 0.5000 x18
Ni 0.0892 0.1785 0.3658 x18
B 0.0470 0.5235 0.2876 x18


(13)
The following is a DFT calculation (PBE) of a relaxed structure of Ca3NiB.

Properties
The value obtained for the magnetic moment is 0.0 μB per formula unit. The calculation puts the energy at -3.227 eV per atom.

a b c (Å): 5.128 5.128 5.128
angles (deg): 90.00 90.00 90.00
Space group Pm-3m (No. 221)
One atom of each set of equivalent atoms:
Ca 0.000 0.000 0.500 x3
Ni 0.500 0.500 0.500 x1
B 0.000 0.000 0.000 x1


(14)
The following is a DFT calculation (PBE) of a relaxed structure of CaNi7B5.

Properties
The value obtained for the magnetic moment is 0.0 μB per formula unit. The calculation puts the energy at -5.987 eV per atom.

a b c (Å): 8.265 6.967 5.339
angles (deg): 90.00 119.07 90.00
Space group Cm (No. 8)
One atom of each set of equivalent atoms:
Ca 0.000 0.000 0.000 x2
Ni 0.148 0.500 0.600 x2
Ni 0.163 0.324 0.015 x4
Ni 0.341 0.000 0.581 x2
Ni 0.400 0.000 0.090 x2
Ni 0.483 0.303 0.469 x4
B 0.226 0.271 0.441 x4
B 0.249 0.187 0.775 x4
B 0.278 0.500 0.362 x2


Number 1: DOS at the Fermi energy 12.084 states/eV/cell, ρ 5.77 Mg/m³, formation energy from the elements -1.0 eV/f.u.. Number 2: DOS at the Fermi energy 23.933 states/eV/cell, ρ 5.95 Mg/m³, formation energy from the elements -7.7 eV/f.u.. Number 3: DOS at the Fermi energy 113.921 states/eV/cell, ρ 7.53 Mg/m³, formation energy from the elements -7.0 eV/f.u.. Number 4: DOS at the Fermi energy 11.676 states/eV/cell, ρ 5.53 Mg/m³, formation energy from the elements -2.8 eV/f.u.. Number 5: DOS at the Fermi energy 9.085 states/eV/cell, ρ 5.88 Mg/m³, formation energy from the elements -2.7 eV/f.u.. Number 6: DOS at the Fermi energy 1.862 states/eV/cell, ρ 3.94 Mg/m³, formation energy from the elements -0.3 eV/f.u.. Number 7: DOS at the Fermi energy 2.825 states/eV/cell, ρ 3.68 Mg/m³, formation energy from the elements 0.2 eV/f.u.. Number 8: DOS at the Fermi energy 10.855 states/eV/cell, ρ 6.28 Mg/m³, formation energy from the elements -1.8 eV/f.u.. Number 9: DOS at the Fermi energy 31.437 states/eV/cell, ρ 5.67 Mg/m³, formation energy from the elements -0.5 eV/f.u.. Number 10: DOS at the Fermi energy 7.768 states/eV/cell, ρ 6.47 Mg/m³, formation energy from the elements -2.4 eV/f.u.. Number 11: DOS at the Fermi energy 13.685 states/eV/cell, ρ 7.16 Mg/m³, formation energy from the elements -1.0 eV/f.u.. Number 12: DOS at the Fermi energy 27.059 states/eV/cell, ρ 6.93 Mg/m³, formation energy from the elements -6.8 eV/f.u.. Number 13: DOS at the Fermi energy 4.741 states/eV/cell, ρ 2.34 Mg/m³, formation energy from the elements 2.3 eV/f.u.. Number 14: DOS at the Fermi energy 13.631 states/eV/cell, ρ 6.24 Mg/m³, formation energy from the elements -2.0 eV/f.u..